Here is a relaxed structure of BaTa2MnRh from Alexandria via LeMat-Bulk. Energies are from PBE-GGA.

POSCAR file:
```
BaTa2MnRh
1.0
4.838 0.000 0.000
0.000 5.807 0.000
0.000 0.000 4.838
Mn Rh Ba Ta
1 1 1 2
direct
0.500 0.500 0.500
0.000 0.000 0.000
0.000 0.500 0.000
0.000 0.000 0.500
0.500 0.000 0.000
```

Summary:
ΔE_f	1.710	eV per atom
SG	P4/mmm
energy	-6.72	eV per atom